First-principles (PBE) data for a relaxed DyLuGaTc crystal, as listed in the Alexandria database.

Energy relative to the elements ... -272 meV/atom

```
data_DyLuGaTc
_cell_length_a 6.925
_cell_length_b 6.925
_cell_length_c 6.925
_cell_angle_alpha 90.00
_cell_angle_beta 90.00
_cell_angle_gamma 90.00
_symmetry_space_group_name_H-M 'F -4 3 m'
_symmetry_Int_Tables_number 216
_symmetry_space_group_name_Hall 'F -4 2 3'
loop_
_atom_site_label
_atom_site_fract_x
_atom_site_fract_y
_atom_site_fract_z
_atom_site_occupancy
Dy1 0.000 0.000 0.000 1
Lu1 0.000 0.000 0.500 1
Ga1 0.250 0.250 0.750 1
Tc1 0.250 0.250 0.250 1
```